No. 1
A geometry-optimized K2ThTa3O12 structure, computed with PBE.

The structure in extended XYZ format:
```
18
Lattice="3.838 2.216 6.255 -3.838 2.216 6.255 0.000 -4.432 6.255" Properties=species:S:1:pos:R:3 pbc="T T T"
K 0.000 0.000 2.719
K 0.000 0.000 16.044
Th 0.000 0.000 9.382
Ta -1.919 -1.108 6.255
Ta -1.919 1.108 12.509
Ta 0.000 2.216 6.255
O -1.727 -0.997 8.227
O 0.000 -1.613 6.116
O -1.397 0.807 6.116
O 0.000 -1.994 10.536
O -1.727 0.997 10.536
O -1.397 -0.807 12.647
O 1.397 0.807 6.116
O 1.727 -0.997 8.227
O 0.000 1.994 8.227
O 1.397 -0.807 12.647
O 0.000 1.613 12.647
O 1.727 0.997 10.536
```

Output
D(E_F)   11.72 states/eV per cell
Crystal system   trigonal
Raw formation energy   -2.473 eV/atom



No. 2
A geometry-optimized K2Ta3TiO12 structure, computed with PBE.

The structure in extended XYZ format:
```
18
Lattice="3.731 2.154 6.028 -3.731 2.154 6.028 0.000 -4.308 6.028" Properties=species:S:1:pos:R:3 pbc="T T T"
K 0.000 0.000 2.252
K 0.000 0.000 15.831
Ta -1.865 -1.077 6.028
Ta -1.865 1.077 12.055
Ta 0.000 2.154 6.028
Ti 0.000 0.000 9.041
O 0.000 -1.634 5.620
O -1.415 0.817 5.620
O -1.390 -0.803 7.933
O -1.415 -0.817 12.463
O 0.000 -1.605 10.150
O -1.390 0.803 10.150
O 1.390 -0.803 7.933
O 0.000 1.605 7.933
O 1.415 0.817 5.620
O 1.390 0.803 10.150
O 1.415 -0.817 12.463
O 0.000 1.634 12.463
```

Output
D(E_F)   11.29 states/eV per cell
Crystal system   trigonal
Raw formation energy   -2.362 eV/atom



No. 3
A geometry-optimized K2TaTiO6 structure, computed with PBE.

The structure in extended XYZ format:
```
20
Lattice="2.928 1.691 9.625 -2.928 1.691 9.625 0.000 -3.381 9.625" Properties=species:S:1:pos:R:3 pbc="T T T"
K 0.000 0.000 3.840
K 0.000 0.000 8.100
K 0.000 0.000 20.775
K 0.000 0.000 25.036
Ta 0.000 0.000 11.622
Ta 0.000 0.000 17.254
Ti 0.000 0.000 0.000
Ti 0.000 0.000 14.438
O -1.269 -0.732 13.134
O 0.000 -1.716 10.734
O -1.486 0.858 10.734
O -1.486 -0.858 18.142
O 0.000 -1.465 15.742
O -1.269 0.732 15.742
O 1.269 -0.732 13.134
O 0.000 1.465 13.134
O 1.486 0.858 10.734
O 1.486 -0.858 18.142
O 0.000 1.716 18.142
O 1.269 0.732 15.742
```

Output
D(E_F)   5.82 states/eV per cell
Crystal system   trigonal
Raw formation energy   -2.402 eV/atom



No. 4
A geometry-optimized KTa2TiO8 structure, computed with PBE.

The structure in extended XYZ format:
```
12
Lattice="4.430 -3.111 0.000 4.430 3.111 0.000 -1.618 0.000 6.982" Properties=species:S:1:pos:R:3 pbc="T T T"
K 0.000 0.000 0.000
Ta 2.490 0.000 5.438
Ta 4.752 0.000 1.544
Ti -0.809 0.000 3.491
O 3.041 1.681 4.746
O 0.893 0.000 4.370
O 4.201 1.681 2.236
O 3.179 0.000 0.132
O 4.062 0.000 6.850
O 3.041 -1.681 4.746
O 6.348 0.000 2.612
O 4.201 -1.681 2.236
```

Output
D(E_F)   3.77 states/eV per cell
Crystal system   monoclinic
Raw formation energy   -2.521 eV/atom



No. 5
A geometry-optimized K2TaTlO4 structure, computed with PBE.

The structure in extended XYZ format:
```
8
Lattice="0.000 4.158 5.465 4.012 0.000 5.465 4.012 4.158 0.000" Properties=species:S:1:pos:R:3 pbc="T T T"
K 2.006 2.079 0.000
K 2.006 2.079 5.465
Ta 4.012 4.158 2.755
Tl 4.012 4.158 8.128
O 5.547 4.158 3.846
O 4.012 1.528 7.134
O 2.478 4.158 3.846
O 4.012 6.787 7.134
```

Output
D(E_F)   0.00 states/eV per cell
Crystal system   orthorhombic
Raw formation energy   -2.038 eV/atom



No. 6
A geometry-optimized KTaTl2O6 structure, computed with PBE.

The structure in extended XYZ format:
```
10
Lattice="2.928 1.690 5.171 -2.928 1.690 5.171 0.000 -3.381 5.171" Properties=species:S:1:pos:R:3 pbc="T T T"
K 0.000 0.000 0.000
Ta 0.000 0.000 7.502
Tl 0.000 0.000 4.212
Tl 0.000 0.000 11.954
O -1.475 -0.250 6.054
O -0.884 -1.525 8.372
O 0.954 -1.153 6.054
O -0.879 1.529 8.372
O 0.521 1.403 6.054
O 1.763 -0.003 8.372
```

Output
Crystal system   trigonal
Raw formation energy   -1.546 eV/atom



No. 7
A geometry-optimized K2TaTlO6 structure, computed with PBE.

The structure in extended XYZ format:
```
10
Lattice="3.010 1.738 4.915 -3.010 1.738 4.915 0.000 -3.475 4.915" Properties=species:S:1:pos:R:3 pbc="T T T"
K 0.000 0.000 3.686
K 0.000 0.000 11.058
Ta 0.000 0.000 0.000
Tl 0.000 0.000 7.372
O -0.008 -1.854 6.062
O -1.609 -0.920 8.682
O -1.601 0.934 6.062
O 1.601 -0.934 8.682
O 1.609 0.920 6.062
O 0.008 1.854 8.682
```

Output
D(E_F)   7.45 states/eV per cell
Crystal system   trigonal
Raw formation energy   -1.552 eV/atom



No. 8
A geometry-optimized K3TmTa2O8 structure, computed with PBE.

The structure in extended XYZ format:
```
14
Lattice="6.146 0.000 0.000 -3.073 5.322 0.000 0.000 0.000 7.723" Properties=species:S:1:pos:R:3 pbc="T T T"
K 0.000 0.000 0.000
K 0.000 3.548 5.228
K 3.073 1.774 2.496
Tm 0.000 0.000 3.862
Ta 0.000 3.548 1.831
Ta 3.073 1.774 5.893
O 0.000 1.793 2.523
O -1.521 4.426 2.523
O 0.000 3.548 0.011
O 1.552 0.896 5.201
O 1.521 4.426 2.523
O 3.073 1.774 7.713
O 4.593 0.896 5.201
O 3.073 3.530 5.201
```

Output
D(E_F)   0.00 states/eV per cell
Crystal system   trigonal
Raw formation energy   -2.706 eV/atom



No. 9
A geometry-optimized K2TmTaO6 structure, computed with PBE.

The structure in extended XYZ format:
```
10
Lattice="0.000 4.231 4.231 4.231 0.000 4.231 4.231 4.231 0.000" Properties=species:S:1:pos:R:3 pbc="T T T"
K 2.115 2.115 2.115
K 6.346 6.346 6.346
Tm 0.000 0.000 0.000
Ta 4.231 4.231 4.231
O 4.231 4.231 2.232
O 4.231 2.232 4.231
O 6.230 4.231 4.231
O 2.232 4.231 4.231
O 4.231 6.230 4.231
O 4.231 4.231 6.230
```

Output
D(E_F)   4.57 states/eV per cell
Crystal system   cubic
Raw formation energy   -2.371 eV/atom